KBS2N (PBE, relaxed); total DFT energy (no corrections) = -4.953 eV/atom; relative energy among the computed polymorphs = 0.000 eV per atom; ΔE_f (raw) = -7.9 kJ per mole of atoms; total moment = 0.000 Bohr magnetons per cell; space group = P4/mmm (123)
1.0
6.3274 0.0000 0.0000
0.0000 6.3274 0.0000
0.0000 0.0000 2.5883
K B S N
1 1 2 1
direct
0.0000 0.0000 0.0000
0.5000 0.5000 0.0000
0.0000 0.5000 0.5000
0.5000 0.0000 0.5000
0.5000 0.5000 0.5000